[1]
NdCdH6Pd4 | PBE-GGA | optimized geometry

abc: 4.7739 4.7739 6.9199
angles: 90.00 90.00 120.00
Space group P6/mmm (No. 191)
Inequivalent atoms, fractional coordinates:
Nd  0.0000  0.0000  0.0000 [1 per cell]
Cd  0.0000  0.0000  0.5000 [1 per cell]
H  0.0000  0.5000  0.1452 [6 per cell]
Pd  0.3333  0.6667  0.3020 [4 per cell]



[2]
NaMo2Au | PBE-GGA | optimized geometry

Summary:
The energy above the most stable polymorph in this dataset comes out at 20 meV per atom. The formation energy comes out at 1135.2 meV per atom.

abc: 7.854 7.854 5.015
angles: 90.00 90.00 90.00
Space group I-42d (No. 122)
Inequivalent atoms, fractional coordinates:
Na  0.000  0.000  0.000 [4 per cell]
Mo  0.215  0.250  0.625 [8 per cell]
Au  0.000  0.000  0.500 [4 per cell]



[3]
K2PPb | PBE-GGA | optimized geometry

Summary:
The energy above the most stable polymorph in this dataset comes out at 339 meV per atom. The formation energy comes out at 104.8 meV per atom.

abc: 6.649 10.775 3.281
angles: 90.00 90.00 90.00
Space group Cmmm (No. 65)
Inequivalent atoms, fractional coordinates:
K  0.250  0.250  0.000 [4 per cell]
P  0.000  0.000  0.500 [2 per cell]
Pb  0.000  0.500  0.500 [2 per cell]



[4]
CaCr2In | PBE-GGA | optimized geometry

Summary:
The formation energy comes out at 671.1 meV per atom.

abc: 6.304 9.520 3.192
angles: 90.00 111.36 90.00
Space group C2/m (No. 12)
Inequivalent atoms, fractional coordinates:
Ca  0.000  0.000  0.000 [2 per cell]
Cr  0.250  0.250  0.500 [4 per cell]
In  0.000  0.500  0.000 [2 per cell]



[5]
Zr3Cd3Ag | PBE-GGA | optimized geometry

Summary:
The formation energy comes out at 55.5 meV per atom.

abc: 5.8805 5.8805 31.3207
angles: 90.00 90.00 120.00
Space group R-3 (No. 148, hexagonal axes)
Inequivalent atoms, fractional coordinates:
Zr  0.0035  0.6785  0.2049 [18 per cell]
Cd  0.0019  0.4655  0.2928 [18 per cell]
Ag  0.0000  0.0000  0.2821 [6 per cell]



[6]
NaCaGa3 | PBE-GGA | optimized geometry

Summary:
The energy above the most stable polymorph in this dataset comes out at 0 meV per atom. The formation energy comes out at 308.8 meV per atom.

abc: 5.130 5.130 5.130
angles: 90.00 90.00 90.00
Space group Pm-3m (No. 221)
Inequivalent atoms, fractional coordinates:
Na  0.000  0.000  0.000 [1 per cell]
Ca  0.500  0.500  0.500 [1 per cell]
Ga  0.000  0.000  0.500 [3 per cell]



[7]
Tl3HgRh | PBE-GGA | optimized geometry

Summary:
The energy above the most stable polymorph in this dataset comes out at 48 meV per atom. The formation energy comes out at 25.6 meV per atom.

abc: 5.391 5.391 9.626
angles: 96.78 97.58 95.86
Space group P-1 (No. 2)
Inequivalent atoms, fractional coordinates:
Tl  0.166  0.424  0.142 [2 per cell]
Tl  0.231  0.982  0.404 [2 per cell]
Tl  0.332  0.061  0.852 [2 per cell]
Hg  0.273  0.521  0.622 [2 per cell]
Rh  0.160  0.916  0.115 [2 per cell]



[8]
Mn2PtN | PBE-GGA | optimized geometry

Summary:
The uncorrected formation energy comes out at 0.032 eV per atom.

abc: 5.832 5.832 5.438
angles: 90.00 90.00 90.00
Space group I-42d (No. 122)
Inequivalent atoms, fractional coordinates:
Mn  0.143  0.750  0.125 [8 per cell]
Pt  0.000  0.000  0.500 [4 per cell]
N  0.000  0.000  0.000 [4 per cell]



[9]
TiMnAl2Tl | PBE-GGA | optimized geometry

Summary:
The formation energy comes out at 229.2 meV per atom.

abc: 4.737 4.737 4.390
angles: 90.00 90.00 90.00
Space group P4/mmm (No. 123)
Inequivalent atoms, fractional coordinates:
Ti  0.000  0.000  0.000 [1 per cell]
Mn  0.000  0.000  0.500 [1 per cell]
Al  0.000  0.500  0.500 [2 per cell]
Tl  0.500  0.500  0.000 [1 per cell]



[10]
BeIrS2 | PBE-GGA | optimized geometry

Summary:
The uncorrected formation energy comes out at -0.089 eV per atom.

abc: 3.0199 3.0199 21.4030
angles: 90.00 90.00 120.00
Space group R-3m (No. 166, hexagonal axes)
Inequivalent atoms, fractional coordinates:
Be  0.0000  0.0000  0.0000 [3 per cell]
Ir  0.0000  0.0000  0.5000 [3 per cell]
S  0.0000  0.0000  0.3947 [6 per cell]



no.,mass density (g/cm³),total DFT energy (no corrections) (eV/atom)
1,8.37,-4.17
2,8.84,-5.43
3,4.47,-2.72
4,4.82,-5.33
5,7.63,-4.41
6,3.35,-2.17
7,11.13,-2.92
8,11.45,-8.14
9,6.09,-5.15
10,7.82,-5.30